The following is a DFT calculation (PBE) of Pu2InNi after structural relaxation.

Summary:
- DOS at the Fermi energy: 13.66 states/eV/cell
- Space group: P4/mmm, No. 123
- Total energy: -9.405 eV per atom
- Formation energy: -0.43 eV/f.u.

Unit cell a=3.232 b=3.232 c=8.492 alpha=90.00 beta=90.00 gamma=90.00
Last column: magnetic moment on the atom in μB.
Sites, in units of the cell vectors:
In (0.500, 0.500, 0.500)  -0.07
Pu (0.000, 0.000, 0.792)  5.33
Pu (0.000, 0.000, 0.208)  5.33
Ni (0.500, 0.500, 0.000)  -0.15